Entry from Alexandria: a relaxed RbAgBiN2 crystal (GGA-PBE).

Geometry as POSCAR:
```
RbAgBiN2
1.0
4.737 0.000 0.000
0.000 5.538 0.000
0.000 0.000 4.737
Rb Bi Ag N
1 1 1 2
Direct
0.500 0.500 0.500 Rb
0.000 0.500 0.000 Bi
0.000 0.000 0.000 Ag
0.000 0.000 0.500 N
0.500 0.000 0.000 N
```

Results
The energy relative to the elements, uncorrected is 1712 meV/atom. The magnetization comes out at 3.128 μB per cell. The total DFT energy (no corrections) is -15.789 eV per cell.



Entry from Alexandria: a relaxed BaNaV crystal (GGA-PBE).

Geometry as POSCAR:
```
BaNaV
1.0
-0.050 -3.435 2.693
-5.844 -8.664 -8.393
3.436 -0.371 -2.664
Na Ba V
2 2 2
Direct
0.222 0.584 0.694 Na
0.778 0.416 0.306 Na
0.408 0.172 0.920 Ba
0.592 0.828 0.080 Ba
0.119 0.000 0.357 V
0.881 0.000 0.643 V
```

Results
The value obtained for the formation energy is 0.5119 eV per atom. The energy above the most stable polymorph in this dataset is 26 meV/atom. The magnetization comes out at 0.000 μB per cell. The total DFT energy (no corrections) is -21.649 eV per cell.



Entry from Alexandria: a relaxed FeNiAu2 crystal (GGA-PBE).

Geometry as POSCAR:
```
FeNiAu2
1.0
9.069 0.006 0.003
8.634 2.775 0.003
8.634 1.356 2.421
Au Fe Ni
2 1 1
Direct
0.007 0.007 0.007 Au
0.243 0.243 0.243 Au
0.492 0.492 0.492 Fe
0.757 0.757 0.757 Ni
```

Results
The value obtained for the formation energy is 0.1617 eV per atom. The energy above the most stable polymorph in this dataset is 97 meV/atom. The magnetization comes out at 3.438 μB per cell. The total DFT energy (no corrections) is -20.152 eV per cell.



Which value of total DFT energy (no corrections) does entry 1 give?
-15.789 eV per cell